[1]
# Pm2DyIn3Te6 (PBE, optimized geometry)
# ΔE_f (raw): -0.98 eV/atom
data_Pm2DyIn3Te6
_cell_length_a 7.740
_cell_length_b 13.409
_cell_length_c 8.512
_cell_angle_alpha 90.00
_cell_angle_beta 107.65
_cell_angle_gamma 90.00
_space_group_name_H-M_alt 'C 1 2/m 1'
_space_group_IT_number 12
_space_group_name_Hall '-C 2y'
loop_
_atom_site_label
_atom_site_type_symbol
_atom_site_fract_x
_atom_site_fract_y
_atom_site_fract_z
Pm1 Pm 0.000 0.166 0.000
Dy1 Dy 0.000 0.500 0.000
In1 In 0.000 0.000 0.500
In2 In 0.000 0.332 0.500
Te1 Te 0.238 0.336 0.223
Te2 Te 0.248 0.000 0.225

=====

[2]
A plane-wave DFT calculation with PBE was carried out for Na4TiMn2 after structural relaxation.

Structure (CIF):
```
data_Na4TiMn2
_cell_length_a 5.553
_cell_length_b 5.553
_cell_length_c 15.258
_cell_angle_alpha 90.00
_cell_angle_beta 90.00
_cell_angle_gamma 90.00
_space_group_name_H-M_alt 'I 4/m m m'
_space_group_IT_number 139
_space_group_name_Hall '-I 4 2'
loop_
_atom_site_label
_atom_site_type_symbol
_atom_site_fract_x
_atom_site_fract_y
_atom_site_fract_z
Na1 Na 0.000 0.000 0.207
Na2 Na 0.000 0.500 0.000
Ti1 Ti 0.000 0.000 0.000
Mn1 Mn 0.000 0.000 0.416
```

=====

[3]
# TlInSe2 (PBE, optimized geometry)
# ΔE_f (raw): 0.08 eV/atom
data_TlInSe2
_cell_length_a 3.236
_cell_length_b 3.236
_cell_length_c 11.505
_cell_angle_alpha 90.00
_cell_angle_beta 90.00
_cell_angle_gamma 90.00
_space_group_name_H-M_alt 'P 4 m m'
_space_group_IT_number 99
_space_group_name_Hall 'P 4 -2'
loop_
_atom_site_label
_atom_site_type_symbol
_atom_site_fract_x
_atom_site_fract_y
_atom_site_fract_z
Tl1 Tl 0.000 0.000 0.000
In1 In 0.500 0.500 0.306
Se1 Se 0.000 0.000 0.481
Se2 Se 0.500 0.500 0.808

=====

[4]
# Gd2ZnSi (PBE, optimized geometry)
# ΔE_f (raw): -0.48 eV/atom
data_Gd2ZnSi
_cell_length_a 4.869
_cell_length_b 4.869
_cell_length_c 3.814
_cell_angle_alpha 90.00
_cell_angle_beta 90.00
_cell_angle_gamma 90.00
_space_group_name_H-M_alt 'P 4/m m m'
_space_group_IT_number 123
_space_group_name_Hall '-P 4 2'
loop_
_atom_site_label
_atom_site_type_symbol
_atom_site_fract_x
_atom_site_fract_y
_atom_site_fract_z
Gd1 Gd 0.000 0.500 0.000
Zn1 Zn 0.000 0.000 0.500
Si1 Si 0.500 0.500 0.500

=====

Calculated volume in Å³/cell, matching the order above: 841.87 470.46 120.46 90.42
Uncorrected energy in eV/cell, matching the order above: -105.95 -46.61 -11.76 -36.77